Below is an optimized crystal structure of AlZnPb2, with properties calculated at the PBE level.

Output
Calculated total energy   -2.964 eV/atom
Symmetry   No. 6

Cell and atoms, written as POSCAR:
```
AlZnPb2
1.0
-2.319 2.961 1.966
0.458 -2.102 3.706
4.790 1.732 3.041
Pb Al Zn
2 1 1
Direct
0.500 0.274 0.332
0.000 0.973 0.922
0.500 0.553 0.768
0.000 0.701 0.477
```